Run P
# YMg2CdH PBE-GGA optimized geometry
# Total magnetization ... 0.0 Bohr magnetons per cell
# DOS at the Fermi energy ... 3.04 states/eV per cell
data_YMg2CdH
_cell_length_a 4.674
_cell_length_b 4.674
_cell_length_c 4.419
_cell_angle_alpha 90.00
_cell_angle_beta 90.00
_cell_angle_gamma 90.00
_space_group_name_H-M_alt 'P 1'
_space_group_IT_number 1
loop_
_space_group_symop_operation_xyz
'x,y,z'
loop_
_atom_site_label
_atom_site_fract_x
_atom_site_fract_y
_atom_site_fract_z
Y1 0.000 0.000 0.000
Mg1 0.000 0.500 0.500
Mg2 0.500 0.000 0.500
Cd1 0.500 0.500 0.000
H1 0.000 0.000 0.500


Run Q
# YMg2CdH PBE-GGA optimized geometry
# Total magnetization ... 0.0 Bohr magnetons per cell
# DOS at the Fermi energy ... 3.20 states/eV per cell
data_YMg2CdH
_cell_length_a 6.122
_cell_length_b 6.122
_cell_length_c 3.862
_cell_angle_alpha 90.00
_cell_angle_beta 90.00
_cell_angle_gamma 90.00
_space_group_name_H-M_alt 'P 1'
_space_group_IT_number 1
loop_
_space_group_symop_operation_xyz
'x,y,z'
loop_
_atom_site_label
_atom_site_fract_x
_atom_site_fract_y
_atom_site_fract_z
Y1 0.000 0.000 0.000
Mg1 0.000 0.500 0.000
Mg2 0.500 0.000 0.000
Cd1 0.500 0.500 0.500
H1 0.000 0.000 0.500


Short version: run P is the most stable of them.


Run P
# MnCdH3 PBE-GGA optimized geometry
# Total magnetization ... 1.8 Bohr magnetons per cell
# DOS at the Fermi energy ... 2.31 states/eV per cell
data_MnCdH3
_cell_length_a 3.476
_cell_length_b 3.476
_cell_length_c 3.476
_cell_angle_alpha 90.00
_cell_angle_beta 90.00
_cell_angle_gamma 90.00
_space_group_name_H-M_alt 'P 1'
_space_group_IT_number 1
loop_
_space_group_symop_operation_xyz
'x,y,z'
loop_
_atom_site_label
_atom_site_fract_x
_atom_site_fract_y
_atom_site_fract_z
Mn1 0.000 0.000 0.000
Cd1 0.500 0.500 0.500
H1 0.000 0.000 0.500
H2 0.000 0.500 0.000
H3 0.500 0.000 0.000


Run Q
# MnCdH3 PBE-GGA optimized geometry
# Total magnetization ... 5.0 Bohr magnetons per cell
# DOS at the Fermi energy ... 3.87 states/eV per cell
data_MnCdH3
_cell_length_a 3.906
_cell_length_b 3.906
_cell_length_c 3.906
_cell_angle_alpha 90.00
_cell_angle_beta 90.00
_cell_angle_gamma 90.00
_space_group_name_H-M_alt 'P 1'
_space_group_IT_number 1
loop_
_space_group_symop_operation_xyz
'x,y,z'
loop_
_atom_site_label
_atom_site_fract_x
_atom_site_fract_y
_atom_site_fract_z
Mn1 0.000 0.000 0.000
Cd1 0.500 0.500 0.500
H1 0.000 0.500 0.500
H2 0.500 0.000 0.500
H3 0.500 0.500 0.000


Short version: run P is the most stable of them.


Run P
# CdMo2H PBE-GGA optimized geometry
# Total magnetization ... 0.0 Bohr magnetons per cell
# DOS at the Fermi energy ... 4.82 states/eV per cell
data_CdMo2H
_cell_length_a 4.384
_cell_length_b 4.384
_cell_length_c 4.384
_cell_angle_alpha 60.00
_cell_angle_beta 60.00
_cell_angle_gamma 60.00
_space_group_name_H-M_alt 'P 1'
_space_group_IT_number 1
loop_
_space_group_symop_operation_xyz
'x,y,z'
loop_
_atom_site_label
_atom_site_fract_x
_atom_site_fract_y
_atom_site_fract_z
Cd1 0.000 0.000 0.000
Mo1 0.250 0.250 0.250
Mo2 0.750 0.750 0.750
H1 0.500 0.500 0.500


Run Q
# CdMo2H PBE-GGA optimized geometry
# Total magnetization ... 0.0 Bohr magnetons per cell
# DOS at the Fermi energy ... 7.34 states/eV per cell
data_CdMo2H
_cell_length_a 5.594
_cell_length_b 5.594
_cell_length_c 5.594
_cell_angle_alpha 60.00
_cell_angle_beta 60.00
_cell_angle_gamma 60.00
_space_group_name_H-M_alt 'P 1'
_space_group_IT_number 1
loop_
_space_group_symop_operation_xyz
'x,y,z'
loop_
_atom_site_label
_atom_site_fract_x
_atom_site_fract_y
_atom_site_fract_z
Cd1 0.125 0.125 0.125
Cd2 0.875 0.875 0.875
Mo1 0.000 0.500 0.500
Mo2 0.500 0.000 0.500
Mo3 0.500 0.500 0.000
Mo4 0.500 0.500 0.500
H1 0.375 0.375 0.375
H2 0.625 0.625 0.625


Short version: run Q is the most stable of them.


Run P
# CdMoH2 PBE-GGA optimized geometry
# Total magnetization ... 2.0 Bohr magnetons per cell
# DOS at the Fermi energy ... 1.14 states/eV per cell
data_CdMoH2
_cell_length_a 3.957
_cell_length_b 3.957
_cell_length_c 3.957
_cell_angle_alpha 60.00
_cell_angle_beta 60.00
_cell_angle_gamma 60.00
_space_group_name_H-M_alt 'P 1'
_space_group_IT_number 1
loop_
_space_group_symop_operation_xyz
'x,y,z'
loop_
_atom_site_label
_atom_site_fract_x
_atom_site_fract_y
_atom_site_fract_z
Cd1 0.000 0.000 0.000
Mo1 0.500 0.500 0.500
H1 0.250 0.250 0.250
H2 0.750 0.750 0.750


Run Q
# CdMoH2 PBE-GGA optimized geometry
# Total magnetization ... 0.0 Bohr magnetons per cell
# DOS at the Fermi energy ... 1.23 states/eV per cell
data_CdMoH2
_cell_length_a 4.851
_cell_length_b 4.851
_cell_length_c 4.851
_cell_angle_alpha 111.88
_cell_angle_beta 111.88
_cell_angle_gamma 104.75
_space_group_name_H-M_alt 'P 1'
_space_group_IT_number 1
loop_
_space_group_symop_operation_xyz
'x,y,z'
loop_
_atom_site_label
_atom_site_fract_x
_atom_site_fract_y
_atom_site_fract_z
Cd1 0.000 0.000 0.000
Cd2 0.750 0.250 0.500
Mo1 0.250 0.750 0.500
Mo2 0.500 0.500 0.000
H1 0.206 0.625 0.081
H2 0.375 0.456 0.581
H3 0.544 0.125 0.919
H4 0.875 0.794 0.419


Run R
# CdMoH2 PBE-GGA optimized geometry
# Total magnetization ... 0.0 Bohr magnetons per cell
# DOS at the Fermi energy ... 2.62 states/eV per cell
data_CdMoH2
_cell_length_a 5.800
_cell_length_b 5.800
_cell_length_c 5.800
_cell_angle_alpha 30.36
_cell_angle_beta 30.36
_cell_angle_gamma 30.36
_space_group_name_H-M_alt 'P 1'
_space_group_IT_number 1
loop_
_space_group_symop_operation_xyz
'x,y,z'
loop_
_atom_site_label
_atom_site_fract_x
_atom_site_fract_y
_atom_site_fract_z
Cd1 0.000 0.000 0.000
Mo1 0.821 0.821 0.821
H1 0.204 0.204 0.204
H2 0.448 0.448 0.448


Short version: run R is the most stable of them.